Record 1
Compound: CsZrGeRh2
Source: the Alexandria database
Functional: PBE-GGA
Structure: relaxed

Properties
Uncorrected energy ... -19.08 eV/cell
Energy relative to the elements ... 1.928 eV per atom

Cell and atoms, written as CIF:
```
data_CsZrGeRh2
_chemical_formula_sum 'Cs1 Zr1 Ge1 Rh2'
_space_group_name_H-M_alt 'P 4/m m m'
_space_group_IT_number 123
_space_group_name_Hall '-P 4 2'
_cell_length_a 4.873
_cell_length_b 4.873
_cell_length_c 5.376
_cell_angle_alpha 90.00
_cell_angle_beta 90.00
_cell_angle_gamma 90.00
loop_
_atom_site_label
_atom_site_type_symbol
_atom_site_fract_x
_atom_site_fract_y
_atom_site_fract_z
Cs1 Cs 0.000 0.000 0.000
Zr1 Zr 0.000 0.000 0.500
Ge1 Ge 0.500 0.500 0.500
Rh1 Rh 0.000 0.500 0.000
```



Record 2
Compound: TcMo2As
Source: the Alexandria database
Functional: PBE-GGA
Structure: relaxed

Properties
Uncorrected energy ... -36.29 eV/cell
Energy relative to the elements ... 0.097 eV per atom

Cell and atoms, written as CIF:
```
data_TcMo2As
_chemical_formula_sum 'Tc1 Mo2 As1'
_space_group_name_H-M_alt 'P m m 2'
_space_group_IT_number 25
_cell_length_a 2.948
_cell_length_b 4.145
_cell_length_c 5.069
_cell_angle_alpha 90.00
_cell_angle_beta 90.00
_cell_angle_gamma 90.00
loop_
_space_group_symop_operation_xyz
'x,y,z'
'-x,-y,z'
'-x,y,z'
'x,-y,z'
loop_
_atom_site_label
_atom_site_type_symbol
_atom_site_fract_x
_atom_site_fract_y
_atom_site_fract_z
Tc1 Tc 0.000 0.000 0.000
Mo1 Mo 0.000 0.000 0.489
Mo2 Mo 0.500 0.500 0.751
As1 As 0.500 0.500 0.247
```



Record 3
Compound: Ac4Si3Sn
Source: the Alexandria database
Functional: PBE-GGA
Structure: relaxed

Properties
Uncorrected energy ... -41.30 eV/cell
Formation energy from raw total energies ... -0.574 eV/atom

Cell and atoms, written as CIF:
```
data_Ac4Si3Sn
_chemical_formula_sum 'Ac4 Si3 Sn1'
_space_group_name_H-M_alt 'P m m 2'
_space_group_IT_number 25
_cell_length_a 4.240
_cell_length_b 4.836
_cell_length_c 11.844
_cell_angle_alpha 90.00
_cell_angle_beta 90.00
_cell_angle_gamma 90.00
loop_
_space_group_symop_operation_xyz
'x,y,z'
'-x,-y,z'
'-x,y,z'
'x,-y,z'
loop_
_atom_site_label
_atom_site_type_symbol
_atom_site_fract_x
_atom_site_fract_y
_atom_site_fract_z
Ac1 Ac 0.000 0.000 0.000
Ac2 Ac 0.000 0.500 0.485
Ac3 Ac 0.500 0.000 0.703
Ac4 Ac 0.500 0.500 0.215
Si1 Si 0.000 0.000 0.287
Si2 Si 0.500 0.000 0.415
Si3 Si 0.500 0.500 0.936
Sn1 Sn 0.000 0.500 0.784
```



Record 4
Compound: Sr2CrFe
Source: the Alexandria database
Functional: PBE-GGA
Structure: relaxed

Properties
Uncorrected energy ... -36.68 eV/cell
Energy relative to the elements ... 0.777 eV per atom

Cell and atoms, written as CIF:
```
data_Sr2CrFe
_chemical_formula_sum 'Sr4 Cr2 Fe2'
_space_group_name_H-M_alt 'C 1 m 1'
_space_group_IT_number 8
_cell_length_a 11.975
_cell_length_b 3.455
_cell_length_c 5.669
_cell_angle_alpha 90.00
_cell_angle_beta 108.62
_cell_angle_gamma 90.00
loop_
_space_group_symop_operation_xyz
'x,y,z'
'x,-y,z'
'x+1/2,y+1/2,z'
'x+1/2,-y+1/2,z'
loop_
_atom_site_label
_atom_site_type_symbol
_atom_site_fract_x
_atom_site_fract_y
_atom_site_fract_z
Sr1 Sr 0.000 0.000 0.000
Sr2 Sr 0.198 0.000 0.634
Cr1 Cr 0.425 0.000 0.436
Fe1 Fe 0.261 0.500 0.182
```



Record 5
Compound: KBe2Cu
Source: the Alexandria database
Functional: PBE-GGA
Structure: relaxed

Properties
Uncorrected energy ... -31.98 eV/cell
Energy relative to the elements ... 1.163 eV per atom

Cell and atoms, written as CIF:
```
data_KBe2Cu
_chemical_formula_sum 'K4 Be8 Cu4'
_space_group_name_H-M_alt 'F m -3 m'
_space_group_IT_number 225
_space_group_name_Hall '-F 4 2 3'
_cell_length_a 6.500
_cell_length_b 6.500
_cell_length_c 6.500
_cell_angle_alpha 90.00
_cell_angle_beta 90.00
_cell_angle_gamma 90.00
loop_
_atom_site_label
_atom_site_type_symbol
_atom_site_fract_x
_atom_site_fract_y
_atom_site_fract_z
K1 K 0.000 0.000 0.000
Be1 Be 0.250 0.250 0.250
Cu1 Cu 0.000 0.000 0.500
```



Record 6
Compound: Ba2SrHgPd
Source: the Alexandria database
Functional: PBE-GGA
Structure: relaxed

Properties
Uncorrected energy ... -12.62 eV/cell
Energy relative to the elements ... -0.320 eV per atom

Cell and atoms, written as CIF:
```
data_Ba2SrHgPd
_chemical_formula_sum 'Ba2 Sr1 Hg1 Pd1'
_space_group_name_H-M_alt 'P 4/m m m'
_space_group_IT_number 123
_space_group_name_Hall '-P 4 2'
_cell_length_a 6.205
_cell_length_b 6.205
_cell_length_c 5.890
_cell_angle_alpha 90.00
_cell_angle_beta 90.00
_cell_angle_gamma 90.00
loop_
_atom_site_label
_atom_site_type_symbol
_atom_site_fract_x
_atom_site_fract_y
_atom_site_fract_z
Ba1 Ba 0.000 0.500 0.000
Sr1 Sr 0.000 0.000 0.500
Hg1 Hg 0.500 0.500 0.500
Pd1 Pd 0.000 0.000 0.000
```



Record 7
Compound: BeReGe2Ru
Source: the Alexandria database
Functional: PBE-GGA
Structure: relaxed

Properties
Uncorrected energy ... -29.07 eV/cell
Energy relative to the elements ... 1.122 eV per atom

Cell and atoms, written as CIF:
```
data_BeReGe2Ru
_chemical_formula_sum 'Be1 Re1 Ge2 Ru1'
_space_group_name_H-M_alt 'P 4/m m m'
_space_group_IT_number 123
_space_group_name_Hall '-P 4 2'
_cell_length_a 4.686
_cell_length_b 4.686
_cell_length_c 4.095
_cell_angle_alpha 90.00
_cell_angle_beta 90.00
_cell_angle_gamma 90.00
loop_
_atom_site_label
_atom_site_type_symbol
_atom_site_fract_x
_atom_site_fract_y
_atom_site_fract_z
Be1 Be 0.000 0.000 0.000
Re1 Re 0.500 0.500 0.000
Ge1 Ge 0.000 0.500 0.500
Ru1 Ru 0.000 0.000 0.500
```



Record 8
Compound: Pr2MgCu
Source: the Alexandria database
Functional: PBE-GGA
Structure: relaxed

Properties
Uncorrected energy ... -61.48 eV/cell
Energy relative to the elements ... -0.030 eV per atom

Cell and atoms, written as CIF:
```
data_Pr2MgCu
_chemical_formula_sum 'Pr8 Mg4 Cu4'
_space_group_name_H-M_alt 'F m -3 m'
_space_group_IT_number 225
_space_group_name_Hall '-F 4 2 3'
_cell_length_a 7.544
_cell_length_b 7.544
_cell_length_c 7.544
_cell_angle_alpha 90.00
_cell_angle_beta 90.00
_cell_angle_gamma 90.00
loop_
_atom_site_label
_atom_site_type_symbol
_atom_site_fract_x
_atom_site_fract_y
_atom_site_fract_z
Pr1 Pr 0.250 0.250 0.250
Mg1 Mg 0.000 0.000 0.000
Cu1 Cu 0.000 0.000 0.500
```



Table of size of the total moment (μB/f.u.), in record order: 0.00; 0.00; 0.02; 6.46; 0.00; 0.00; 3.36; 0.00